Tm8SiPb4Se3: relaxed, PBE.

POSCAR file:
```
Tm8SiPb4Se3
1.0
-0.581 -3.663 -7.030
8.765 1.157 -1.328
-2.121 -3.816 6.657
Tm Pb Se Si
8 4 3 1
Cartesian
4.037 -3.770 3.930
5.123 -1.816 0.523
2.323 -0.678 -2.033
3.740 -5.644 0.333
0.940 -4.506 -2.223
2.025 -2.552 -5.630
4.863 -3.712 -2.962
1.199 -2.610 1.261
-1.351 -3.740 -0.186
-0.291 -1.832 -3.515
-1.060 -1.908 3.329
0.000 0.000 0.000
4.092 -1.253 -4.179
3.031 -3.161 -0.850
3.322 -1.329 2.665
4.382 0.579 -0.664
```

Uncorrected energy in eV per cell: -81.40
Total magnetic moment in μB/atom: 0.000
Energy relative to the elements, uncorrected in meV per atom: -932.1